Computed, not measured: an optimized crystal structure of TaMoIN2 at the PBE level of DFT.

Values from the calculation:
**E above lowest polymorph**: 0.000 eV per atom
**Symmetry**: P4/mmm (123)
**Formation energy from raw total energies**: 0.95 eV/atom
**Total magnetization**: 4.01 Bohr magnetons per cell
**Raw total energy**: -7.2264 eV per atom

```
TaMoIN2
1.0
-1.734 -1.723 3.248
1.787 -3.534 -0.920
4.651 1.498 3.278
I Mo N Ta
1 1 2 1
Cartesian
2.326 0.749 1.639 I
2.352 -1.879 2.803 Mo
0.893 -1.767 -0.460 N
-0.867 -0.862 1.624 N
0.000 0.000 0.000 Ta
```

Computed, not measured: an optimized crystal structure of PrNd2Sm4Mg at the PBE level of DFT.

Values from the calculation:
**Symmetry**: Imma (74)
**Total magnetization**: 0.01 Bohr magnetons per cell
**Raw total energy**: -4.0226 eV per atom

```
PrNd2Sm4Mg
1.0
9.406 -0.049 -1.779
-0.056 9.406 -1.779
-5.910 -5.915 8.401
Pr Nd Sm Mg
2 4 8 2
Cartesian
-0.028 4.703 -0.889 Pr
6.422 1.696 1.532 Pr
4.703 -0.025 -0.889 Nd
1.748 -2.982 3.311 Nd
6.450 -3.006 2.422 Nd
4.675 4.678 -1.779 Nd
2.175 7.179 -1.777 Sm
3.948 -0.508 2.420 Sm
-0.508 3.950 2.424 Sm
1.265 -3.737 6.620 Sm
1.182 1.189 5.612 Sm
3.971 3.980 1.654 Sm
-0.532 -0.538 3.190 Sm
2.257 2.253 -0.768 Sm
1.720 1.721 2.422 Mg
3.439 3.442 4.844 Mg
```